Run A
Crystalline CuP2OsO at its relaxed geometry. Source: the Alexandria database, functional GGA-PBE.

## Properties
For the volume, the calculation gives 82 Å³/cell.

Lattice parameters (Å, degrees): 4.741 4.741 3.657 90.00 90.00 90.00
Sites, in units of the cell vectors:
Cu  0.000  0.000  0.000
P  0.000  0.500  0.500
P  0.500  0.000  0.500
Os  0.500  0.500  0.500
O  0.500  0.500  0.000

---

Run B
Crystalline CuP2OsO at its relaxed geometry. Source: the Alexandria database, functional GGA-PBE.

## Properties
For the volume, the calculation gives 70 Å³/cell.

Lattice parameters (Å, degrees): 4.583 4.583 3.348 90.00 90.00 90.00
Sites, in units of the cell vectors:
Cu  0.000  0.000  0.000
P  0.000  0.500  0.000
P  0.500  0.000  0.000
Os  0.500  0.500  0.500
O  0.000  0.000  0.500

---

The least stable of them is run B.

---

Run A
Crystalline Cu3P4O14 at its relaxed geometry. Source: the Alexandria database, functional GGA-PBE.

## Properties
For the volume, the calculation gives 559 Å³/cell.

Lattice parameters (Å, degrees): 7.113 8.845 9.491 90.00 110.66 90.00
Sites, in units of the cell vectors:
Cu  0.000  0.000  0.000
Cu  0.000  0.500  0.500
Cu  0.201  0.133  0.511
Cu  0.201  0.367  0.011
Cu  0.799  0.633  0.989
Cu  0.799  0.867  0.489
P  0.068  0.734  0.802
P  0.068  0.766  0.302
P  0.382  0.517  0.793
P  0.382  0.983  0.293
P  0.618  0.017  0.707
P  0.618  0.483  0.207
P  0.932  0.234  0.698
P  0.932  0.266  0.198
O  0.015  0.120  0.613
O  0.015  0.380  0.113
O  0.032  0.226  0.873
O  0.032  0.274  0.373
O  0.084  0.604  0.356
O  0.084  0.896  0.856
O  0.280  0.021  0.126
O  0.280  0.479  0.626
O  0.292  0.672  0.832
O  0.292  0.828  0.332
O  0.363  0.112  0.397
O  0.363  0.388  0.897
O  0.395  0.048  0.682
O  0.395  0.452  0.182
O  0.605  0.548  0.818
O  0.605  0.952  0.318
O  0.637  0.612  0.103
O  0.637  0.888  0.603
O  0.708  0.172  0.668
O  0.708  0.328  0.168
O  0.720  0.521  0.374
O  0.720  0.979  0.874
O  0.916  0.104  0.144
O  0.916  0.396  0.644
O  0.968  0.726  0.627
O  0.968  0.774  0.127
O  0.985  0.620  0.887
O  0.985  0.880  0.387

---

Run B
Crystalline Cu3P4O14 at its relaxed geometry. Source: the Alexandria database, functional GGA-PBE.

## Properties
For the volume, the calculation gives 253 Å³/cell.

Lattice parameters (Å, degrees): 4.686 7.154 8.253 73.53 75.45 76.18
Sites, in units of the cell vectors:
Cu  0.000  0.000  0.000
Cu  0.031  0.740  0.465
Cu  0.969  0.260  0.535
P  0.348  0.335  0.776
P  0.409  0.760  0.717
P  0.591  0.240  0.283
P  0.652  0.665  0.224
O  0.177  0.226  0.945
O  0.211  0.382  0.614
O  0.247  0.273  0.327
O  0.258  0.853  0.560
O  0.317  0.548  0.815
O  0.317  0.761  0.256
O  0.321  0.890  0.846
O  0.679  0.110  0.154
O  0.683  0.239  0.744
O  0.683  0.452  0.185
O  0.742  0.147  0.440
O  0.753  0.727  0.673
O  0.789  0.618  0.386
O  0.823  0.774  0.055

---

The least stable of them is run B.